# Dy2In5Pt3

A relaxed Dy2In5Pt3 crystal (PBE, the Alexandria database).

Calculated volume: 878 Å³ per cell
Energy of formation: -0.73 eV/atom
Final energy: -48.31 eV per formula unit
Fermi-level density of states: 5.13 states/eV/f.u.

a b c (Å): 4.423 26.784 7.408
angles (deg): 90.00 90.00 90.00
Space group Cmc2_1 (No. 36)
Unique sites:
Dy (0.000, 0.023, 0.000) (multiplicity 4)
Dy (0.000, 0.324, 0.097) (multiplicity 4)
In (0.000, 0.098, 0.382) (multiplicity 4)
In (0.000, 0.206, 0.302) (multiplicity 4)
In (0.000, 0.207, 0.891) (multiplicity 4)
In (0.000, 0.376, 0.533) (multiplicity 4)
In (0.000, 0.446, 0.165) (multiplicity 4)
Pt (0.000, 0.111, 0.767) (multiplicity 4)
Pt (0.000, 0.270, 0.597) (multiplicity 4)
Pt (0.000, 0.457, 0.781) (multiplicity 4)